Below is a PBEsol-optimized structure of Ho2Ga3Fe14C2, with properties calculated at the meta-GGA SCAN level.

## Properties
- energy (eV for the cell shown) = -424.1
- energy relative to the elements (eV/atom) = -0.148
- symmetry = C2/m (12)
- spin magnetization (μB/cell) = 30.383
- theoretical density (g/cm3) = 8.84

Structure (POSCAR):
```
Ho2Ga3Fe14C2
1.0
-0.8630 5.9809 1.9579
-5.6841 0.9477 -2.6725
-3.5046 -1.3957 5.1661
Ho Ga Fe C
2 3 14 2
Cartesian
-6.5990 3.5999 2.9578 Ho
-3.4527 1.9330 1.4938 Ho
-1.7523 -0.6978 2.5830 Ga
-0.4315 2.9905 0.9789 Ga
-2.8421 0.4738 -1.3362 Ga
-9.1212 5.0335 4.0255 Fe
-0.9306 0.4994 0.4261 Fe
-5.2293 1.2232 4.1151 Fe
-3.9413 4.9112 2.5106 Fe
-6.3296 2.4178 0.2168 Fe
-4.8224 4.3097 0.3364 Fe
-6.1105 0.6217 1.9410 Fe
-3.7222 3.1151 4.2348 Fe
-2.3073 4.4731 0.5708 Fe
-5.0657 0.3041 -0.4457 Fe
-8.4227 1.6409 1.5965 Fe
-4.9860 5.2288 4.8972 Fe
-1.6290 3.8920 2.8550 Fe
-4.2399 2.4555 -1.2854 Fe
-4.5944 -0.2240 1.2468 C
-2.1838 2.2926 3.5620 C
```

Below is a PBEsol-optimized structure of Y2Ga3Fe14C2, with properties calculated at the meta-GGA SCAN level.

## Properties
- energy (eV for the cell shown) = -381.8
- energy relative to the elements (eV/atom) = -0.148
- symmetry = C2/m (12)
- spin magnetization (μB/cell) = 30.626
- theoretical density (g/cm3) = 7.79

Structure (POSCAR):
```
Y2Ga3Fe14C2
1.0
6.3670 0.0173 0.0153
0.8085 6.3155 0.0153
0.7239 0.6388 6.3292
Y Ga Fe C
2 3 14 2
Cartesian
5.1638 4.5573 4.2188 Y
2.7356 2.4143 2.1410 Y
0.3619 0.3194 3.1646 Ga
3.1835 0.0087 0.0076 Ga
0.4043 3.1577 0.0076 Ga
7.1756 6.3329 5.7550 Fe
0.7238 0.6388 0.6048 Fe
3.0945 2.7311 5.3602 Fe
5.9291 2.4465 2.2075 Fe
3.1645 5.5791 2.2075 Fe
4.8049 4.2406 0.9996 Fe
1.9703 4.5251 4.1523 Fe
4.7349 1.3926 4.1523 Fe
4.7223 1.8809 0.0153 Fe
0.7989 4.7029 1.8061 Fe
3.1337 6.7635 4.5537 Fe
7.1005 2.2688 4.5537 Fe
4.7657 0.2082 1.8061 Fe
2.4532 4.4520 0.0153 Fe
0.7662 3.4772 3.1722 C
3.5454 0.3281 3.1722 C
```

Below is a PBEsol-optimized structure of Gd2Fe17C3, with properties calculated at the meta-GGA SCAN level.

## Properties
- energy (eV for the cell shown) = -456.8
- energy relative to the elements (eV/atom) = -0.028
- symmetry = R-3m (166)
- spin magnetization (μB/cell) = 52.547
- theoretical density (g/cm3) = 8.47

Structure (POSCAR):
```
Gd2Fe17C3
1.0
6.3784 0.0053 0.0048
0.7214 6.3375 0.0048
0.7214 0.6445 6.3047
Gd Fe C
2 17 3
Cartesian
5.1251 4.5787 4.1376 Gd
2.6961 2.4087 2.1767 Gd
0.3607 0.3222 3.1523 Fe
0.3607 3.1688 0.0024 Fe
3.1892 0.0027 0.0024 Fe
2.3211 4.5469 0.0048 Fe
4.7788 0.1861 1.7862 Fe
0.7214 2.2543 4.5232 Fe
2.3211 0.4637 4.5232 Fe
0.7214 4.7277 1.7862 Fe
4.7788 1.7959 0.0048 Fe
3.0524 2.7269 5.3981 Fe
3.0524 5.6458 2.1681 Fe
5.9528 2.3992 2.1681 Fe
4.7689 4.2604 0.9161 Fe
4.7689 1.3415 4.1462 Fe
1.8684 4.5881 4.1462 Fe
7.0762 6.3217 5.7128 Fe
0.7450 0.6656 0.6015 Fe
3.5499 3.1714 0.0048 C
3.5499 0.3249 3.1547 C
0.7214 3.4910 3.1547 C
```

Below is a PBEsol-optimized structure of FeGe3C, with properties calculated at the meta-GGA SCAN level.

## Properties
- energy (eV for the cell shown) = -78.9
- energy relative to the elements (eV/atom) = 1.312
- symmetry = Pm-3m (221)
- spin magnetization (μB/cell) = 1.998
- theoretical density (g/cm3) = 5.60

Structure (POSCAR):
```
FeGe3C
1.0
-0.8495 -0.8577 4.2235
4.1425 -1.3499 0.5591
1.1888 4.0911 1.0699
C Ge Fe
1 3 1
Cartesian
2.2409 0.9417 2.9262 C
2.0712 -0.6750 0.2795 Ge
0.5944 2.0456 0.5350 Ge
-0.4247 -0.4289 2.1117 Ge
0.0000 0.0000 0.0000 Fe
```

Below is a PBEsol-optimized structure of FeGe4H24C8S10N2, with properties calculated at the meta-GGA SCAN level.

## Properties
- energy (eV for the cell shown) = -385.9
- symmetry = I-4 (82)
- spin magnetization (μB/cell) = 4.000
- theoretical density (g/cm3) = 2.16

Structure (POSCAR):
```
FeGe4H24C8S10N2
1.0
9.4012 0.0000 0.0000
-4.7006 8.5181 0.0388
0.0000 5.1520 7.8638
Fe Ge H C S N
1 4 24 8 10 2
Cartesian
4.7006 8.1231 5.9172 Fe
5.2909 11.6741 7.1793 Ge
4.1103 8.3842 2.1577 Ge
7.7022 5.8935 6.6722 Ge
1.6989 6.5405 7.6598 Ge
3.3688 3.4591 2.5701 H
6.0324 4.1771 3.6660 H
-0.6551 10.5818 5.8985 H
0.6551 9.1222 3.6705 H
2.6497 2.9771 4.1720 H
6.7515 2.5160 3.4682 H
0.4207 12.0475 5.7980 H
-0.4207 9.7996 2.3670 H
3.7146 4.4362 4.0617 H
5.6866 3.1999 2.1746 H
1.1280 10.3924 5.6092 H
-1.1280 9.3118 3.9597 H
-1.4756 6.9663 1.4319 H
1.4756 6.6212 0.9053 H
0.3148 5.1090 4.0364 H
-0.3148 3.4918 1.5679 H
-1.3774 6.6104 3.2034 H
1.3774 4.8550 0.5240 H
1.6016 6.1162 3.2591 H
-1.6016 4.6066 0.9549 H
-0.0904 7.5964 2.3899 H
0.0904 11.1466 7.8088 H
1.4614 4.3482 2.8789 H
7.9397 4.2491 2.7276 H
3.5167 3.4290 3.6633 C
5.8845 3.1628 3.2571 C
0.2428 11.0230 5.4326 C
-0.2428 9.7254 3.4521 C
-0.7985 6.7656 2.2778 C
0.7985 5.7656 0.7514 C
0.9124 5.2661 3.1241 C
-0.9124 4.3909 1.7882 C
2.3450 4.5475 6.8745 S
7.0562 0.6655 0.9493 S
3.5418 12.3545 5.9611 S
-3.5418 9.7727 2.0203 S
4.7006 6.3221 1.4776 S
0.0000 7.3480 6.4250 S
6.1259 9.7922 6.4292 S
3.2752 8.3203 4.1825 S
6.0435 6.4088 5.3364 S
3.3576 7.9710 7.7209 S
4.7006 2.5760 3.9319 N
0.0000 5.5471 1.9854 N
```

Below is a PBEsol-optimized structure of LiFe2GeC, with properties calculated at the meta-GGA SCAN level.

## Properties
- energy (eV for the cell shown) = -67.2
- energy relative to the elements (eV/atom) = 0.128
- symmetry = P4/mmm (123)
- spin magnetization (μB/cell) = 0.001
- theoretical density (g/cm3) = 6.69

Structure (POSCAR):
```
LiFe2GeC
1.0
3.6788 0.0000 0.0000
0.0000 3.6788 0.0000
0.0000 0.0000 3.7264
C Ge Fe Li
1 1 2 1
Cartesian
0.0000 0.0000 0.0000 C
1.8394 1.8394 1.8632 Ge
0.0000 1.8394 0.0000 Fe
1.8394 0.0000 0.0000 Fe
0.0000 0.0000 1.8632 Li
```

Below is a PBEsol-optimized structure of FeH24C2S2N6O14, with properties calculated at the meta-GGA SCAN level.

## Properties
- energy (eV for the cell shown) = -657.2
- symmetry = P2_1/c (14)
- spin magnetization (μB/cell) = 8.000
- theoretical density (g/cm3) = 1.75

Structure (POSCAR):
```
FeH24C2S2N6O14
1.0
-6.6391 -3.4595 -0.2222
3.4842 -7.0943 6.3500
-4.1556 7.4364 8.3866
Fe H C S N O
2 48 4 4 12 28
Cartesian
1.7421 -3.5472 3.1750 Fe
-3.6553 -1.5587 7.2572 Fe
-6.4001 0.5031 11.8336 H
-2.0533 0.5849 6.9054 H
-0.9104 -3.6205 2.6808 H
-5.2573 -3.7023 7.6090 H
-2.8398 -5.4153 3.3354 H
-1.1562 -0.7759 7.0271 H
-4.4707 2.2979 11.1790 H
-6.1543 -2.3415 7.4873 H
0.7538 -1.9373 5.2316 H
-2.7936 -3.2346 5.1964 H
-8.0643 -1.1801 9.2828 H
-4.5169 0.1172 9.3180 H
-8.9347 2.5296 9.7395 H
-1.9525 -2.7098 8.9180 H
1.6241 -5.6470 4.7749 H
-5.3580 -0.4076 5.5964 H
-9.0387 1.2696 8.7580 H
-3.0954 -2.0996 9.8578 H
1.7282 -4.3870 5.7564 H
-4.2152 -1.0178 4.6566 H
-4.8071 -4.6111 4.0922 H
-1.5823 -2.8272 6.1902 H
-2.5035 1.4937 10.4222 H
-5.7282 -0.2902 8.3242 H
-5.8344 -1.5009 2.9628 H
0.3181 -5.4825 7.3488 H
-1.4762 -1.6165 11.5516 H
-7.6286 2.3651 7.1656 H
-7.0864 -0.9245 4.0461 H
0.1315 -6.8085 6.2173 H
-0.2241 -2.1929 10.4683 H
-7.4420 3.6911 8.2971 H
-1.0659 -0.7851 2.0024 H
-3.0600 -5.4737 8.3558 H
-6.2446 -2.3323 12.5120 H
-4.2505 2.3563 6.1586 H
-6.2537 -3.2873 1.5759 H
-1.4573 -4.8397 8.6622 H
-1.0568 0.1699 12.9385 H
-5.8532 1.7223 5.8522 H
-2.3902 1.2898 4.5108 H
-1.9858 -7.6789 5.8389 H
-4.9204 -4.4072 10.0036 H
-5.3247 4.5616 8.6755 H
-2.7924 0.0130 3.3479 H
-3.3224 -7.3082 6.9437 H
-4.5181 -3.1304 11.1665 H
-3.9881 4.1909 7.5708 H
-0.9764 0.9330 3.0891 C
-1.5447 -6.3556 7.3228 C
-6.3342 -4.0504 11.4253 C
-5.7658 3.2383 7.1916 C
-3.9257 -0.3780 11.9785 S
-7.9920 -0.3392 6.6445 S
-3.3848 -2.7394 2.5359 S
0.6815 -2.7782 7.8699 S
-6.8152 -1.5391 3.2680 N
-0.2578 -6.2554 6.9916 N
-0.4953 -1.5783 11.2465 N
-7.0528 3.1380 7.5229 N
-0.5971 0.1254 2.0886 N
-2.0419 -5.6095 8.3193 N
-6.7134 -3.2428 12.4258 N
-5.2686 2.4921 6.1951 N
-2.1772 0.7800 3.6476 N
-2.3269 -7.2359 6.6979 N
-5.1334 -3.8974 10.8668 N
-4.9836 4.1185 7.8165 N
-7.0777 1.0898 11.3920 O
-1.9833 -0.3184 7.3267 O
-0.2328 -4.2072 3.1224 O
-5.3272 -2.7990 7.1878 O
-5.4864 -5.3333 4.0972 O
-2.5616 -2.9693 6.1297 O
-1.8241 2.2159 10.4172 O
-4.7489 -0.1481 8.3847 O
-9.3631 1.6371 9.6257 O
-2.9342 -2.5521 8.9846 O
2.0525 -4.7545 4.8887 O
-4.3763 -0.5653 5.5298 O
-5.3010 -0.5888 12.5035 O
-2.2840 2.1293 6.2645 O
-2.0095 -2.5286 2.0109 O
-5.0266 -5.2467 8.2499 O
-3.3746 -1.6640 11.4798 O
-8.7564 0.8357 7.1361 O
-3.9359 -1.4533 3.0346 O
1.4459 -3.9531 7.3783 O
-3.0458 0.1543 13.0528 O
-6.9967 0.1056 5.6330 O
-4.2647 -3.2717 1.4616 O
-0.3138 -3.2230 8.8814 O
-3.9761 0.6082 10.8486 O
-7.2726 -0.9768 7.7969 O
-3.3344 -3.7256 3.6658 O
-0.0379 -2.1406 6.7175 O
```

Below is a PBEsol-optimized structure of FeH4C3O8, with properties calculated at the meta-GGA SCAN level.

## Properties
- energy (eV for the cell shown) = -261.7
- symmetry = P-1 (2)
- spin magnetization (μB/cell) = 2.000
- theoretical density (g/cm3) = 2.54

Structure (POSCAR):
```
FeH4C3O8
1.0
5.3513 0.0466 0.0042
-0.6585 6.3472 0.0452
-1.2123 -0.3539 8.6133
Fe H C O
2 8 6 16
Cartesian
1.3731 4.2273 6.5460 Fe
2.1074 1.8126 2.1167 Fe
0.0009 5.4117 4.7901 H
3.4796 0.6283 3.8726 H
-0.2371 6.0832 6.3871 H
3.7176 -0.0433 2.2756 H
3.4813 0.4475 6.0096 H
-0.0008 5.5924 2.6530 H
4.3720 1.6792 5.5257 H
-0.8915 4.3607 3.1370 H
2.8606 5.5854 8.5766 C
0.6199 0.4545 0.0861 C
2.3526 3.4277 4.2202 C
1.1279 2.6122 4.4425 C
1.7720 2.4899 8.4778 C
1.7085 3.5500 0.1848 C
3.5671 5.3646 0.9404 O
-0.0866 0.6753 7.7223 O
2.4757 5.5185 7.3464 O
1.0048 0.5215 1.3162 O
2.6326 4.2905 5.0983 O
0.8479 1.7494 3.5644 O
3.0160 3.1866 3.1577 O
0.4645 2.8533 5.5050 O
2.3523 2.8238 7.4001 O
1.1282 3.2161 1.2626 O
0.1070 4.0682 7.9641 O
3.3735 1.9718 0.6986 O
0.3662 5.5901 5.7594 O
3.1143 0.4499 2.9033 O
3.6454 1.0678 5.2534 O
-0.1650 4.9722 3.4093 O
```

Below is a PBEsol-optimized structure of FeH4C2O6, with properties calculated at the meta-GGA SCAN level.

## Properties
- energy (eV for the cell shown) = -208.8
- symmetry = C2/c (15)
- spin magnetization (μB/cell) = 0.066
- theoretical density (g/cm3) = 2.67

Structure (POSCAR):
```
FeH4C2O6
1.0
5.1313 0.0000 0.0000
2.5657 5.8670 -0.0023
2.5657 0.1076 7.4188
Fe H C O
2 8 4 12
Cartesian
5.5377 4.4271 1.8530 Fe
4.7249 1.5474 5.5635 Fe
3.2923 0.9269 0.9985 H
5.8580 2.0603 2.7098 H
6.9703 5.0476 6.4180 H
4.4046 3.9142 4.7067 H
3.2191 0.9511 2.6507 H
5.7848 2.0362 1.0576 H
7.0435 5.0234 4.7658 H
4.4779 3.9384 6.3589 H
2.9768 4.4141 1.1209 C
2.9768 4.4402 2.5851 C
7.2858 1.5604 6.2956 C
7.2858 1.5344 4.8314 C
4.1221 4.4048 0.5449 O
4.1221 4.4494 3.1611 O
6.1405 1.5697 6.8716 O
6.1405 1.5251 4.2554 O
6.9593 4.3998 0.5419 O
6.9593 4.4544 3.1641 O
3.3033 1.5747 6.8746 O
3.3033 1.5201 4.2524 O
2.9052 0.4926 1.8171 O
5.4709 2.4947 1.8912 O
7.3574 5.4820 5.5994 O
4.7917 3.4798 5.5253 O
```

Below is a PBEsol-optimized structure of FePH5CO4, with properties calculated at the meta-GGA SCAN level.

## Properties
- energy (eV for the cell shown) = -189.9
- symmetry = Pc (7)
- spin magnetization (μB/cell) = 8.000
- theoretical density (g/cm3) = 2.35

Structure (POSCAR):
```
FePH5CO4
1.0
-3.4085 -3.3076 0.6687
1.5597 -1.8430 -5.1412
5.8899 -5.3226 3.6949
Fe P H C O
2 2 10 2 8
Cartesian
1.4177 -6.1041 -0.2126 Fe
2.0782 -3.2903 1.8581 Fe
3.3865 -7.7340 -2.1301 P
2.0211 -3.0894 -1.3303 P
-1.5442 -4.2410 -1.6401 H
5.6901 -7.8014 -1.5652 H
4.3868 -4.5862 0.9237 H
-0.3521 -4.2116 1.1064 H
1.1079 -5.0338 -2.7896 H
4.2684 -5.4099 -0.4583 H
0.2908 -1.4490 -1.5979 H
4.7153 -8.8580 -0.4786 H
3.5476 -7.5583 2.9990 H
0.8281 -2.1236 -3.1702 H
3.3046 -6.6856 3.6233 C
1.1643 -1.7743 -2.1826 C
4.8027 -4.7209 0.0279 O
1.5458 -5.1885 -3.6716 O
1.0813 -4.2856 -1.1631 O
0.6643 -6.8860 3.0386 O
2.1109 -5.3888 1.5586 O
3.2833 -3.4710 -2.1692 O
2.5631 -2.5317 0.0192 O
3.1280 -6.4529 -1.2829 O
```

Below is a PBEsol-optimized structure of Fe2HgC, with properties calculated at the meta-GGA SCAN level.

## Properties
- energy (eV for the cell shown) = -108.6
- energy relative to the elements (eV/atom) = 1.479
- symmetry = Fm-3m (225)
- spin magnetization (μB/cell) = 5.718
- theoretical density (g/cm3) = 10.83

Structure (POSCAR):
```
Fe2HgC
1.0
-1.8349 -3.2711 -1.7243
0.0506 -3.6495 1.9284
-3.4727 -1.5187 1.6353
C Hg Fe
1 1 2
Cartesian
0.0000 0.0000 0.0000 C
-2.6285 -4.2196 0.9197 Hg
-1.3142 -2.1098 0.4599 Fe
-3.9427 -6.3295 1.3796 Fe
```

Below is a PBEsol-optimized structure of FeHg3C, with properties calculated at the meta-GGA SCAN level.

## Properties
- energy (eV for the cell shown) = -225.4
- energy relative to the elements (eV/atom) = 1.466
- symmetry = Pm-3m (221)
- spin magnetization (μB/cell) = 3.442
- theoretical density (g/cm3) = 11.85

Structure (POSCAR):
```
FeHg3C
1.0
4.5436 0.0000 0.0000
0.0000 4.5436 0.0000
0.0000 0.0000 4.5436
C Hg Fe
1 3 1
Cartesian
0.0000 0.0000 0.0000 C
0.0000 2.2718 0.0000 Hg
0.0000 0.0000 2.2718 Hg
2.2718 0.0000 0.0000 Hg
2.2718 2.2718 2.2718 Fe
```

Below is a PBEsol-optimized structure of Ho2Fe2Si2C, with properties calculated at the meta-GGA SCAN level.

## Properties
- energy (eV for the cell shown) = -169.0
- ΔE_f (raw) (eV per atom) = -0.66
- symmetry = C2/m (12)
- spin magnetization (μB/cell) = 0.040
- theoretical density (g/cm3) = 8.22

Structure (POSCAR):
```
Ho2Fe2Si2C
1.0
3.8731 0.0000 0.0000
1.9365 5.1982 -0.0026
1.9365 0.9916 5.1116
Fe C Si Ho
2 1 2 2
Cartesian
3.8731 4.4956 4.6163 Fe
3.8731 1.6942 0.4927 Fe
0.0000 0.0000 0.0000 C
1.9365 2.3275 1.4623 Si
5.8096 3.8623 3.6467 Si
3.8731 1.6065 3.6155 Ho
3.8731 4.5833 1.4935 Ho
```